[1]
Pa2BIr | Alexandria | PBE | relaxed; energy relative to the elements = 185 meV/atom; magnetization = 0.000 μB per cell; final energy = -8.4476 eV/atom; calculated density = 14.002 g/cm3
1.0
3.2899 0.0000 0.0000
1.6450 2.8491 0.0000
1.6450 0.9497 8.4150
Ir Pa B
1 2 1
direct
0.0000 0.0000 0.0000
0.8964 0.8964 0.3109
0.1036 0.1036 0.6891
0.5000 0.5000 0.5000

***

[2]
VHgTe2 | Alexandria | PBE | relaxed; magnetization = 0.001 μB per cell; final energy = -4.0187 eV/atom; raw formation energy = -93 meV/atom; calculated density = 7.646 g/cm3
1.0
-5.4338 -8.1889 19.0356
-3.0697 -1.9695 -1.7235
4.8117 -1.3288 -7.0515
Hg V Te
4 4 8
direct
0.0738 0.2513 0.0127
0.5738 0.2487 0.5127
0.4262 0.7513 0.4873
0.9262 0.7487 0.9873
0.7396 0.7488 0.8226
0.2604 0.2512 0.1774
0.7604 0.2488 0.6774
0.2396 0.7512 0.3226
0.6526 0.7486 0.9325
0.8474 0.2486 0.5675
0.1526 0.7514 0.4325
0.3691 0.2513 0.6659
0.1309 0.7513 0.8341
0.6309 0.7487 0.3341
0.8691 0.2487 0.1659
0.3474 0.2514 0.0675